First-principles (SCAN) data for a crystal of KLiPt2 relaxed with PBEsol, as listed in the Alexandria database.

It has space group Pmmm (No. 47), with a = 2.682 Å, b = 4.099 Å, c = 6.910 Å, α = 90.00°, β = 90.00° and γ = 90.00°. Symmetry generates all atoms from K at (0.000, 0.000, 0.000), Li at (0.000, 0.000, 0.500) and Pt at (0.500, 0.500, 0.316).

The value obtained for the formation energy is -0.105 eV per atom. For the offset from the most stable computed form, the calculation gives 0.0 meV/atom. For the total magnetization, the calculation gives 0.12 μB per atom.


First-principles (SCAN) data for a crystal of K2LiPt relaxed with PBEsol, as listed in the Alexandria database.

It has space group F-43m (No. 216), with a = 7.396 Å, b = 7.396 Å, c = 7.396 Å, α = 90.00°, β = 90.00° and γ = 90.00°. Symmetry generates all atoms from K at (0.000, 0.000, 0.000), K at (0.250, 0.250, 0.250), Li at (0.000, 0.000, 0.500) and Pt at (0.250, 0.250, 0.750).

The value obtained for the formation energy is 0.050 eV per atom. For the offset from the most stable computed form, the calculation gives 0.0 meV/atom. For the total magnetization, the calculation gives 0.00 μB per atom.


First-principles (SCAN) data for a crystal of KRb2Li2 relaxed with PBEsol, as listed in the Alexandria database.

It has space group P4/mbm (No. 127), with a = 9.733 Å, b = 9.733 Å, c = 5.874 Å, α = 90.00°, β = 90.00° and γ = 90.00°. Symmetry generates all atoms from K at (0.000, 0.000, 0.000), Rb at (0.174, 0.326, 0.500) and Li at (0.111, 0.611, 0.000).

The value obtained for the formation energy is 0.136 eV per atom. For the total magnetization, the calculation gives 0.01 μB per atom.


First-principles (SCAN) data for a crystal of KLiRe relaxed with PBEsol, as listed in the Alexandria database.

It has space group I4mm (No. 107), with a = 2.644 Å, b = 2.644 Å, c = 16.942 Å, α = 90.00°, β = 90.00° and γ = 90.00°. Symmetry generates all atoms from K at (0.000, 0.000, 0.000), Li at (0.000, 0.000, 0.711) and Re at (0.000, 0.000, 0.335).

The value obtained for the formation energy is 0.879 eV per atom. For the offset from the most stable computed form, the calculation gives 0.0 meV/atom. For the total magnetization, the calculation gives 0.01 μB per atom.


Q: Among the records above, which one has the lowest formation energy?
A: KLiPt2